Record 1
First-principles (GGA-PBE) data for a relaxed Tl4AgAs crystal, as listed in the Alexandria database.

Cell lengths 6.3142, 6.3142, 6.3142 Å; angles 60.00, 60.00, 60.00 degrees
With the nearest neighbours (Å) after each atom.
Positions (direct):
Tl 0.1254 0.1254 0.1254  6 Tl 3.15-3.17
Tl 0.1254 0.1254 0.6238  6 Tl 3.15-3.17
Tl 0.1254 0.6238 0.1254  6 Tl 3.15-3.17
Tl 0.6238 0.1254 0.1254  6 Tl 3.15-3.17
Ag 0.7500 0.7500 0.7500  12 Tl 3.70, 4 As 3.87
As 0.5000 0.5000 0.5000  12 Tl 3.70, 4 Ag 3.87

Calculated values
**Energy of formation from the pure elements**: 0.411 eV/atom
**Energy above the lowest structure with this stoichiometry**: 320 meV/atom

=====

Record 2
First-principles (GGA-PBE) data for a relaxed Tb2PmPr3Ho6 crystal, as listed in the Alexandria database.

Cell lengths 6.2271, 6.2271, 11.8160 Å; angles 95.02, 95.02, 119.98 degrees
With the nearest neighbours (Å) after each atom.
Positions (direct):
Tb 0.1667 0.8333 0.0000  6 Ho 3.54-3.55, 3 Pm 3.59-3.60, 3 Tb 3.60
Tb 0.8333 0.1667 0.0000  6 Ho 3.54-3.55, 3 Pm 3.59-3.60, 3 Tb 3.60
Pm 0.5000 0.5000 0.0000  6 Ho 3.55, 6 Tb 3.59-3.60
Pr 0.0000 0.0000 0.5000  6 Pr 3.59-3.60, 6 Ho 3.60
Pr 0.3332 0.6668 0.5000  6 Pr 3.59-3.60, 6 Ho 3.60
Pr 0.6668 0.3332 0.5000  6 Pr 3.59-3.60, 6 Ho 3.60
Ho 0.0839 0.4175 0.7530  2 Tb 3.54-3.55, 1 Pm 3.55, 6 Ho 3.59-3.60, 3 Pr 3.60
Ho 0.2488 0.2488 0.2471  1 Pm 3.55, 2 Tb 3.55, 6 Ho 3.59-3.60, 3 Pr 3.60
Ho 0.4175 0.0839 0.7530  2 Tb 3.54-3.55, 1 Pm 3.55, 6 Ho 3.59-3.60, 3 Pr 3.60
Ho 0.5825 0.9161 0.2470  2 Tb 3.54-3.55, 1 Pm 3.55, 6 Ho 3.59-3.60, 3 Pr 3.60
Ho 0.7512 0.7512 0.7529  1 Pm 3.55, 2 Tb 3.55, 6 Ho 3.59-3.60, 3 Pr 3.60
Ho 0.9161 0.5825 0.2470  2 Tb 3.54-3.55, 1 Pm 3.55, 6 Ho 3.59-3.60, 3 Pr 3.60

Calculated values
**Energy of formation from the pure elements**: 0.017 eV/atom

=====

Record 3
First-principles (GGA-PBE) data for a relaxed Na3ScSn crystal, as listed in the Alexandria database.

Cell lengths 5.8274, 5.8274, 5.8274 Å; angles 90.00, 90.00, 90.00 degrees
With the nearest neighbours (Å) after each atom.
Positions (direct):
Na 0.0000 0.0000 0.5000  2 Sc 2.91
Na 0.0000 0.5000 0.0000  2 Sc 2.91
Na 0.5000 0.0000 0.0000  2 Sc 2.91
Sc 0.0000 0.0000 0.0000  6 Na 2.91
Sn 0.5000 0.5000 0.5000  12 Na 4.12

Calculated values
**Energy of formation from the pure elements**: 0.951 eV/atom
**Energy above the lowest structure with this stoichiometry**: 388 meV/atom

=====

Record 4
First-principles (GGA-PBE) data for a relaxed LiHfTlPt2 crystal, as listed in the Alexandria database.

Cell lengths 5.1395, 5.1395, 5.2106 Å; angles 90.00, 90.00, 90.00 degrees
With the nearest neighbours (Å) after each atom.
Positions (direct):
Li 0.0000 0.0000 0.0000  4 Hf 3.63, 8 Pt 3.66
Hf 0.5000 0.5000 0.0000  2 Tl 2.61
Tl 0.5000 0.5000 0.5000  4 Pt 2.57, 2 Hf 2.61
Pt 0.0000 0.5000 0.5000  2 Tl 2.57
Pt 0.5000 0.0000 0.5000  2 Tl 2.57

Calculated values
**Energy of formation from the pure elements**: 1.131 eV/atom

=====

no.,electronic total energy (eV/cell)
1,-14.5
2,-55.6
3,-9.5
4,-20.7